RbBa2NiF8 after structural relaxation. Source: Alexandria, functional PBE+U.

Lattice parameters (Å, degrees): 4.6643 5.6648 8.3879 90.01 89.98 100.09
Each line ends with the local moment (μB).
Fractional positions:
F: 0.6244 0.8079 0.0000  0.11
F: 0.9286 0.2183 0.8267  0.10
F: 0.4268 0.7240 0.5002  0.00
F: 0.5732 0.2760 0.4998  0.00
F: 0.0714 0.7817 0.1733  0.10
F: 0.3756 0.1921 0.0000  0.11
F: 0.0719 0.7807 0.8274  0.10
F: 0.9281 0.2193 0.1726  0.10
Ba: 0.5007 0.4997 0.7604  0.00
Ba: 0.4993 0.5003 0.2396  0.00
Ni: 0.0000 0.0000 0.0000  2.30
Rb: 0.0000 0.0000 0.5000  0.00

Fermi-level density of states: 0.0000 states/eV/atom
symmetry: P2/m, No. 10
E: -57.5 eV/cell